## one
Y2Mg2Cu: optimized geometry, PBE.

Cell: 4.9746 3.9124 12.5041 Å, 90.00 90.08 90.00°
With the nearest neighbours (Å) after each atom.
Element x y z (fractional)
Y  0.2493  0.0000  0.0861  1 Cu 2.80
Y  0.2493  0.4991  0.7041  2 Cu 2.78
Y  0.7507  0.5000  0.9139  1 Cu 2.80
Y  0.7507  0.9991  0.2959  2 Cu 2.78
Mg  0.2511  0.4994  0.3028  2 Mg 3.06, 6 Y 3.16-3.34, 2 Cu 3.22-3.24
Mg  0.2507  0.9992  0.4911  6 Mg 3.06-3.18, 2 Y 3.30
Mg  0.7493  0.4992  0.5089  6 Mg 3.06-3.18, 2 Y 3.30
Mg  0.7489  0.9994  0.6972  2 Mg 3.06, 6 Y 3.16-3.34, 2 Cu 3.22-3.24
Cu  0.2465  0.9984  0.8620  3 Y 2.78-2.80
Cu  0.7535  0.4984  0.1380  3 Y 2.78-2.80

## Properties
space group = No. 4
mass density = 3.96 g/cm3
magnetization = 0.0 μB per formula unit
D(E_F) = 8.0 states/eV per cell

***

## two
Y2Mg2Cu: optimized geometry, PBE.

Cell: 6.2748 6.2748 7.2282 Å, 90.00 90.00 80.25°
With the nearest neighbours (Å) after each atom.
Element x y z (fractional)
Y  0.1880  0.1880  0.0000  2 Cu 2.85
Y  0.1880  0.1880  0.5000  2 Cu 2.85
Y  0.8119  0.8119  0.0000  2 Cu 2.85
Y  0.8119  0.8119  0.5000  2 Cu 2.85
Mg  0.3286  0.6714  0.5540  1 Cu 2.60, 2 Mg 2.83-2.88
Mg  0.3286  0.6714  0.9460  1 Cu 2.60, 2 Mg 2.83-2.88
Mg  0.6714  0.3286  0.0540  1 Cu 2.60, 2 Mg 2.83-2.88
Mg  0.6714  0.3286  0.4460  1 Cu 2.60, 2 Mg 2.83-2.88
Cu  0.1576  0.8424  0.2500  2 Mg 2.60, 4 Y 2.85
Cu  0.8424  0.1576  0.7500  2 Mg 2.60, 4 Y 2.85

## Properties
space group = No. 63
mass density = 3.43 g/cm3
magnetization = 0.0 μB per formula unit
D(E_F) = 8.2 states/eV per cell

***

Name the most stable of them. one.

***

## one
Y2Mg2Cu: optimized geometry, PBE.

Cell: 8.0404 8.0404 8.0404 Å, 132.95 63.56 139.81°
With the nearest neighbours (Å) after each atom.
Element x y z (fractional)
Y  0.1747  0.1718  0.3465  2 Cu 2.97, 2 Mg 3.24
Y  0.3253  0.6718  0.9970  2 Cu 2.97, 2 Mg 3.24
Y  0.6747  0.3282  0.0030  2 Cu 2.97, 2 Mg 3.24
Y  0.8253  0.8282  0.6535  2 Cu 2.97, 2 Mg 3.24
Mg  0.0783  0.6626  0.7409  2 Cu 2.78, 1 Mg 2.99
Mg  0.4217  0.1626  0.5843  2 Cu 2.78, 1 Mg 2.99
Mg  0.5783  0.8374  0.4157  2 Cu 2.78, 1 Mg 2.99
Mg  0.9217  0.3374  0.2591  2 Cu 2.78, 1 Mg 2.99
Cu  0.2500  0.2500  0.0000  2 Cu 2.76, 4 Mg 2.78, 4 Y 2.97
Cu  0.7500  0.7500  0.0000  2 Cu 2.76, 4 Mg 2.78, 4 Y 2.97

## Properties
space group = No. 72
mass density = 3.97 g/cm3
magnetization = 0.0 μB per formula unit
D(E_F) = 7.4 states/eV per cell

***

## two
Y2Mg2Cu: optimized geometry, PBE.

Cell: 6.4225 3.3746 12.0945 Å, 90.00 105.25 90.00°
With the nearest neighbours (Å) after each atom.
Element x y z (fractional)
Y  0.0555  0.2500  0.3733  2 Cu 2.95, 1 Mg 3.15
Y  0.2238  0.7500  0.9264  2 Cu 2.93
Y  0.7762  0.2500  0.0736  2 Cu 2.93
Y  0.9445  0.7500  0.6267  2 Cu 2.95, 1 Mg 3.15
Mg  0.3323  0.2500  0.1706  2 Cu 2.81, 1 Mg 3.01
Mg  0.4068  0.7500  0.5834  2 Cu 2.78, 3 Mg 3.01-3.10
Mg  0.5932  0.2500  0.4166  2 Cu 2.78, 3 Mg 3.01-3.10
Mg  0.6677  0.7500  0.8294  2 Cu 2.81, 1 Mg 3.01
Cu  0.3113  0.2500  0.7462  4 Mg 2.78-2.81, 4 Y 2.93-2.95
Cu  0.6887  0.7500  0.2538  4 Mg 2.78-2.81, 4 Y 2.93-2.95

## Properties
space group = No. 11
mass density = 3.81 g/cm3
magnetization = 0.0 μB per formula unit
D(E_F) = 9.4 states/eV per cell

***

## three
Y2Mg2Cu: optimized geometry, PBE.

Cell: 3.9981 3.9981 9.3156 Å, 90.00 90.00 120.00°
With the nearest neighbours (Å) after each atom.
Element x y z (fractional)
Y  0.3333  0.6667  0.1428  3 Mg 3.21, 3 Y 3.52
Y  0.6667  0.3333  0.8572  3 Mg 3.21, 3 Y 3.52
Mg  0.3333  0.6667  0.6175  3 Cu 2.55
Mg  0.6667  0.3333  0.3825  3 Cu 2.55
Cu  0.0000  0.0000  0.5000  6 Mg 2.55

## Properties
space group = No. 164
mass density = 3.73 g/cm3
magnetization = 0.0 μB per formula unit
D(E_F) = 3.4 states/eV per cell

***

Name the most stable of them. one.

***

## one
Y2Mg2Cu: optimized geometry, PBE.

Cell: 8.1992 8.1992 6.2908 Å, 101.78 101.78 35.49°
With the nearest neighbours (Å) after each atom.
Element x y z (fractional)
Y  0.0000  0.0000  0.0000  2 Cu 2.87-3.00, 1 Mg 3.19
Y  0.2253  0.2253  0.7231  3 Cu 2.92-3.10, 3 Mg 3.11-3.22
Y  0.5909  0.5909  0.4158  2 Cu 2.87, 2 Mg 3.20-3.21
Y  0.8306  0.8306  0.4108  3 Cu 2.97-3.26, 6 Mg 3.24-3.30
Mg  0.2039  0.2039  0.2204  3 Mg 3.06-3.10, 5 Y 3.11-3.25
Mg  0.3886  0.3886  0.1293  2 Cu 3.04, 3 Mg 3.06-3.35, 6 Y 3.20-3.30
Mg  0.4355  0.4355  0.6741  2 Cu 3.07, 3 Mg 3.10-3.35, 6 Y 3.20-3.36
Mg  0.6379  0.6379  0.9430  1 Cu 2.82, 2 Mg 3.10
Cu  0.0248  0.0248  0.5397  5 Y 2.87-3.10, 2 Mg 3.07
Cu  0.8122  0.8122  0.8851  3 Mg 2.82-3.04, 4 Y 2.87-3.06

## Properties
space group = No. 8
mass density = 4.02 g/cm3
magnetization = 0.0 μB per formula unit
D(E_F) = 9.1 states/eV per cell

***

## two
Y2Mg2Cu: optimized geometry, PBE.

Cell: 6.8412 6.8412 6.9347 Å, 105.79 105.79 55.07°
With the nearest neighbours (Å) after each atom.
Element x y z (fractional)
Y  0.0705  0.2026  0.4947  2 Cu 2.83-3.02
Y  0.2026  0.0705  0.9947  2 Cu 2.83-3.02
Y  0.7974  0.9295  0.0053  2 Cu 2.83-3.02
Y  0.9295  0.7974  0.5053  2 Cu 2.83-3.02
Mg  0.3119  0.4567  0.8658  2 Cu 2.71-2.82, 1 Mg 3.00
Mg  0.4567  0.3119  0.3658  2 Cu 2.71-2.82, 1 Mg 3.00
Mg  0.5433  0.6881  0.6342  2 Cu 2.71-2.82, 1 Mg 3.00
Mg  0.6881  0.5433  0.1342  2 Cu 2.71-2.82, 1 Mg 3.00
Cu  0.2554  0.7446  0.2500  4 Mg 2.71-2.82, 4 Y 2.83-3.02
Cu  0.7446  0.2554  0.7500  4 Mg 2.71-2.82, 4 Y 2.83-3.02

## Properties
space group = No. 15
mass density = 3.80 g/cm3
magnetization = 0.0 μB per formula unit
D(E_F) = 8.3 states/eV per cell

***

## three
Y2Mg2Cu: optimized geometry, PBE.

Cell: 6.5220 6.5220 6.9795 Å, 106.30 106.30 59.81°
With the nearest neighbours (Å) after each atom.
Element x y z (fractional)
Y  0.0691  0.2436  0.1266  2 Cu 2.86-3.11
Y  0.2436  0.0691  0.6266  2 Cu 2.86-3.11
Y  0.7564  0.9309  0.3734  2 Cu 2.86-3.11
Y  0.9309  0.7564  0.8734  2 Cu 2.86-3.11
Mg  0.2910  0.5016  0.5351  2 Cu 2.78-2.79, 1 Mg 2.89
Mg  0.4984  0.7090  0.9649  2 Cu 2.78-2.79, 1 Mg 2.89
Mg  0.5016  0.2910  0.0351  2 Cu 2.78-2.79, 1 Mg 2.89
Mg  0.7090  0.4984  0.4649  2 Cu 2.78-2.79, 1 Mg 2.89
Cu  0.2510  0.7490  0.2500  4 Mg 2.78-2.79, 2 Y 2.86
Cu  0.7490  0.2510  0.7500  4 Mg 2.78-2.79, 2 Y 2.86

## Properties
space group = No. 15
mass density = 3.97 g/cm3
magnetization = 0.0 μB per formula unit
D(E_F) = 9.0 states/eV per cell

***

## four
Y2Mg2Cu: optimized geometry, PBE.

Cell: 7.3760 7.3760 5.1598 Å, 90.00 90.00 90.00°
With the nearest neighbours (Å) after each atom.
Element x y z (fractional)
Y  0.1584  0.3416  0.0000  2 Cu 2.78
Y  0.3416  0.8416  0.0000  2 Cu 2.78
Y  0.6584  0.1584  0.0000  2 Cu 2.78
Y  0.8416  0.6584  0.0000  2 Cu 2.78
Mg  0.1471  0.6471  0.5000  1 Mg 3.07, 6 Y 3.28-3.43
Mg  0.3529  0.1471  0.5000  1 Mg 3.07, 6 Y 3.28-3.43
Mg  0.6471  0.8529  0.5000  1 Mg 3.07, 6 Y 3.28-3.43
Mg  0.8529  0.3529  0.5000  1 Mg 3.07, 6 Y 3.28-3.43
Cu  0.0000  0.0000  0.0000  4 Y 2.78
Cu  0.5000  0.5000  0.0000  4 Y 2.78

## Properties
space group = No. 127
mass density = 3.43 g/cm3
magnetization = 0.0 μB per formula unit
D(E_F) = 13.4 states/eV per cell

***

Name the most stable of them. one.

***

## one
Y2Mg2Cu: optimized geometry, PBE.

Cell: 7.9800 7.9800 6.1762 Å, 90.00 90.00 142.67°
With the nearest neighbours (Å) after each atom.
Element x y z (fractional)
Y  0.0775  0.9225  0.5000  2 Cu 2.92-3.13, 2 Mg 3.20
Y  0.3202  0.6798  0.3282  2 Cu 2.98, 6 Mg 3.06-3.25
Y  0.6798  0.3202  0.8282  2 Cu 2.98, 6 Mg 3.06-3.25
Y  0.9225  0.0775  0.0000  2 Cu 2.92-3.13, 2 Mg 3.20
Mg  0.2911  0.7089  0.8222  1 Cu 2.81, 1 Mg 2.89, 3 Y 3.06-3.08
Mg  0.4731  0.5269  0.6816  3 Mg 2.89-3.19, 2 Cu 3.10, 3 Y 3.18-3.20
Mg  0.5269  0.4731  0.1816  3 Mg 2.89-3.19, 2 Cu 3.10, 3 Y 3.18-3.20
Mg  0.7089  0.2911  0.3222  1 Cu 2.81, 1 Mg 2.89, 3 Y 3.06-3.08
Cu  0.1287  0.8713  0.0437  3 Mg 2.81-3.10, 4 Y 2.92-3.13
Cu  0.8713  0.1287  0.5437  3 Mg 2.81-3.10, 4 Y 2.92-3.13

## Properties
space group = No. 36
mass density = 4.04 g/cm3
magnetization = 0.0 μB per formula unit
D(E_F) = 7.9 states/eV per cell

***

## two
Y2Mg2Cu: optimized geometry, PBE.

Cell: 4.7872 4.7872 6.9790 Å, 90.00 90.00 120.00°
With the nearest neighbours (Å) after each atom.
Element x y z (fractional)
Y  0.3333  0.6667  0.1410  3 Cu 2.93, 3 Mg 3.22
Y  0.6667  0.3333  0.8590  3 Cu 2.93, 3 Mg 3.22
Mg  0.3333  0.6667  0.6221  4 Y 3.22-3.36, 3 Mg 3.25
Mg  0.6667  0.3333  0.3779  4 Y 3.22-3.36, 3 Mg 3.25
Cu  0.0000  0.0000  0.0000  6 Y 2.93

## Properties
space group = No. 164
mass density = 3.48 g/cm3
magnetization = 0.0 μB per formula unit
D(E_F) = 4.8 states/eV per cell

***

Name the most stable of them. one.

***

## one
Y2Mg2Cu: optimized geometry, PBE.

Cell: 6.0850 6.0850 8.1731 Å, 128.12 128.12 31.24°
With the nearest neighbours (Å) after each atom.
Element x y z (fractional)
Y  0.0707  0.0707  0.3605  2 Cu 2.99, 2 Y 3.28, 1 Mg 3.30
Y  0.9293  0.9293  0.6395  2 Cu 2.99, 2 Y 3.28, 1 Mg 3.30
Mg  0.2444  0.2444  0.1642  2 Cu 2.79
Mg  0.7556  0.7556  0.8358  2 Cu 2.79
Cu  0.5000  0.5000  0.0000  4 Mg 2.79, 4 Y 2.99

## Properties
space group = No. 12
mass density = 4.00 g/cm3
magnetization = 0.0 μB per formula unit
D(E_F) = 5.4 states/eV per cell

***

## two
Y2Mg2Cu: optimized geometry, PBE.

Cell: 9.7352 9.7352 7.1648 Å, 99.85 99.85 21.11°
With the nearest neighbours (Å) after each atom.
Element x y z (fractional)
Y  0.0000  0.0000  0.0000  4 Cu 3.00-3.10, 4 Mg 3.23-3.25
Y  0.0088  0.0088  0.5115  4 Cu 3.06, 4 Mg 3.22-3.38, 1 Y 3.37
Y  0.1872  0.1872  0.5597  2 Cu 3.05, 5 Mg 3.16-3.35, 1 Y 3.37
Y  0.8157  0.8157  0.8817  2 Cu 3.01, 3 Mg 3.18-3.21
Mg  0.2063  0.2063  0.1250  2 Mg 2.99, 2 Cu 3.17, 1 Y 3.20
Mg  0.3988  0.3988  0.2225  2 Mg 2.94, 6 Y 3.21-3.25
Mg  0.6178  0.6178  0.8431  2 Mg 2.99, 4 Y 3.16-3.23, 1 Cu 3.25
Mg  0.8206  0.8206  0.4401  2 Cu 2.89, 2 Mg 2.94, 1 Y 3.18
Cu  0.4098  0.4098  0.6958  2 Mg 2.89, 6 Y 3.01-3.10
Cu  0.5915  0.5915  0.2789  6 Y 3.00-3.06, 3 Mg 3.17-3.25

## Properties
space group = No. 8
mass density = 4.00 g/cm3
magnetization = 0.0 μB per formula unit
D(E_F) = 6.6 states/eV per cell

***

Name the most stable of them. two.

***

## one
Y2Mg2Cu: optimized geometry, PBE.

Cell: 9.7976 9.7976 6.8949 Å, 90.00 90.00 158.23°
With the nearest neighbours (Å) after each atom.
Element x y z (fractional)
Y  0.0076  0.9924  0.5000  2 Cu 2.90, 2 Mg 3.20
Y  0.2004  0.7996  0.4788  5 Mg 3.09-3.26, 2 Cu 3.11
Y  0.7996  0.2004  0.9788  5 Mg 3.09-3.26, 2 Cu 3.11
Y  0.9924  0.0076  0.0000  2 Cu 2.90, 2 Mg 3.20
Mg  0.1623  0.8377  0.0437  2 Cu 2.80, 2 Mg 2.91, 1 Y 3.09
Mg  0.3924  0.6076  0.2558  2 Mg 2.91, 4 Y 3.20
Mg  0.6076  0.3924  0.7558  2 Mg 2.91, 4 Y 3.20
Mg  0.8377  0.1623  0.5437  2 Cu 2.80, 2 Mg 2.91, 1 Y 3.09
Cu  0.4077  0.5923  0.7775  2 Mg 2.80, 4 Y 2.90-3.11
Cu  0.5923  0.4077  0.2775  2 Mg 2.80, 4 Y 2.90-3.11

## Properties
space group = No. 36
mass density = 3.92 g/cm3
magnetization = 0.0 μB per formula unit
D(E_F) = 8.6 states/eV per cell

***

## two
Y2Mg2Cu: optimized geometry, PBE.

Cell: 3.9670 3.9670 17.2728 Å, 90.00 90.00 90.00°
With the nearest neighbours (Å) after each atom.
Element x y z (fractional)
Y  0.2500  0.2500  0.1667  1 Mg 3.08, 4 Cu 3.17
Y  0.2500  0.7500  0.5000  4 Y 2.81
Y  0.7500  0.2500  0.5000  4 Y 2.81
Y  0.7500  0.7500  0.8333  1 Mg 3.08, 4 Cu 3.17
Mg  0.2500  0.2500  0.3449  5 Y 3.08-3.33, 4 Cu 3.23
Mg  0.2500  0.7500  0.0000  4 Mg 2.81
Mg  0.7500  0.2500  0.0000  4 Mg 2.81
Mg  0.7500  0.7500  0.6551  5 Y 3.08-3.33, 4 Cu 3.23
Cu  0.2500  0.2500  0.7473  4 Y 3.17, 4 Mg 3.23
Cu  0.7500  0.7500  0.2527  4 Y 3.17, 4 Mg 3.23

## Properties
space group = No. 129
mass density = 3.54 g/cm3
magnetization = 0.0 μB per formula unit
D(E_F) = 7.9 states/eV per cell

***

Name the most stable of them. one.